This record from the Alexandria database describes a geometry-optimized Y3Ho4Tm5 structure. The functional is PBE.

```
Y3Ho4Tm5
1.0
6.811 -0.402 1.771
-5.152 7.396 -6.522
4.097 -3.860 11.373
Ho Y Tm
4 3 5
Direct
0.168 0.336 0.167
0.917 0.835 0.668
0.832 0.664 0.833
0.083 0.165 0.332
0.415 0.833 0.667
0.000 0.000 0.500
0.585 0.167 0.333
0.668 0.333 0.165
0.332 0.667 0.835
0.250 0.498 0.999
0.500 0.000 0.500
0.750 0.502 0.001
```

Output
Energy of formation from the pure elements in eV/atom: 0.0263
SG: P-1 (2)
Final energy in eV per atom: -4.979